Entry 1:
Entry from Alexandria: a relaxed structure of TiTcTe3 (PBE-GGA).

The space group is Pm-3m (No. 221) and the conventional cell measures 5.311, 5.311 and 5.311 Å, with angles of 90.00, 90.00 and 90.00 degrees. The asymmetric unit holds Ti at (0.000, 0.000, 0.000), Tc at (0.500, 0.500, 0.500) and Te at (0.000, 0.000, 0.500).

The density of states at the Fermi level comes out at 4.5 states/eV/cell. Its energy above the most stable polymorph in this dataset is 0 meV/atom. The formation energy (no corrections) is 701 meV/atom. The crystal system is cubic. The value obtained for the total moment is 4.77 μB per formula unit.

Entry 2:
Entry from Alexandria: a relaxed structure of TiTc3Te (PBE-GGA).

The space group is Pm-3m (No. 221) and the conventional cell measures 4.749, 4.749 and 4.749 Å, with angles of 90.00, 90.00 and 90.00 degrees. The asymmetric unit holds Ti at (0.000, 0.000, 0.000), Tc at (0.000, 0.500, 0.500) and Te at (0.500, 0.500, 0.500).

The density of states at the Fermi level comes out at 4.8 states/eV/cell. Its energy above the most stable polymorph in this dataset is 265 meV/atom. The formation energy (no corrections) is 1565 meV/atom. The crystal system is cubic. The value obtained for the total moment is 0.00 μB per formula unit.

Entry 3:
Entry from Alexandria: a relaxed structure of TiTcTe2 (PBE-GGA).

The space group is I-42d (No. 122) and the conventional cell measures 4.969, 4.969 and 15.919 Å, with angles of 90.00, 90.00 and 90.00 degrees. The asymmetric unit holds Ti at (0.000, 0.000, 0.000), Tc at (0.000, 0.000, 0.500) and Te at (0.235, 0.250, 0.625).

The density of states at the Fermi level comes out at 17.0 states/eV/cell. Its energy above the most stable polymorph in this dataset is 236 meV/atom. The formation energy (no corrections) is 245 meV/atom. The crystal system is tetragonal. The value obtained for the total moment is 0.00 μB per formula unit.

Entry 4:
Entry from Alexandria: a relaxed structure of TiTcTe2 (PBE-GGA).

The space group is R-3m (No. 166, hexagonal axes) and the conventional cell measures 3.3054, 3.3054 and 27.9235 Å, with angles of 90.00, 90.00 and 120.00 degrees. The asymmetric unit holds Ti at (0.0000, 0.0000, 0.0000), Tc at (0.0000, 0.0000, 0.5000) and Te at (0.0000, 0.0000, 0.0975).

The density of states at the Fermi level comes out at 11.1 states/eV/cell. Its energy above the most stable polymorph in this dataset is 263 meV/atom. The formation energy (no corrections) is 272 meV/atom. The crystal system is trigonal. The value obtained for the total moment is 0.75 μB per formula unit.

Entry 5:
Entry from Alexandria: a relaxed structure of TiTc2TeW (PBE-GGA).

The space group is P4/mmm (No. 123) and the conventional cell measures 4.707, 4.707 and 4.773 Å, with angles of 90.00, 90.00 and 90.00 degrees. The asymmetric unit holds Ti at (0.000, 0.000, 0.000), Tc at (0.000, 0.500, 0.500), Te at (0.000, 0.000, 0.500) and W at (0.500, 0.500, 0.000).

The density of states at the Fermi level comes out at 8.7 states/eV/cell. The formation energy (no corrections) is 1889 meV/atom. The crystal system is tetragonal. The value obtained for the total moment is 0.00 μB per formula unit.

Entry 6:
Entry from Alexandria: a relaxed structure of TiZnTc2Te (PBE-GGA).

The space group is P4/mmm (No. 123) and the conventional cell measures 4.614, 4.614 and 4.767 Å, with angles of 90.00, 90.00 and 90.00 degrees. The asymmetric unit holds Ti at (0.000, 0.000, 0.000), Zn at (0.000, 0.000, 0.500), Tc at (0.000, 0.500, 0.000) and Te at (0.500, 0.500, 0.500).

The density of states at the Fermi level comes out at 5.0 states/eV/cell. The formation energy (no corrections) is 1087 meV/atom. The crystal system is tetragonal. The value obtained for the total moment is 0.33 μB per formula unit.

Entry 7:
Entry from Alexandria: a relaxed structure of ZrTiTc2Te (PBE-GGA).

The space group is P4/mmm (No. 123) and the conventional cell measures 4.802, 4.802 and 5.121 Å, with angles of 90.00, 90.00 and 90.00 degrees. The asymmetric unit holds Zr at (0.000, 0.000, 0.000), Ti at (0.500, 0.500, 0.000), Tc at (0.000, 0.500, 0.500) and Te at (0.000, 0.000, 0.500).

The density of states at the Fermi level comes out at 9.1 states/eV/cell. The formation energy (no corrections) is 1323 meV/atom. The crystal system is tetragonal. The value obtained for the total moment is 0.00 μB per formula unit.

Entry 8:
Entry from Alexandria: a relaxed structure of Tl2TcTe (PBE-GGA).

The space group is Cm (No. 8) and the conventional cell measures 5.909, 3.412 and 10.660 Å, with angles of 90.00, 100.95 and 90.00 degrees. The asymmetric unit holds Tl at (0.000, 0.000, 0.000), Tl at (0.093, 0.500, 0.725), Tc at (0.405, 0.000, 0.214) and Te at (0.295, 0.500, 0.379).

The density of states at the Fermi level comes out at 8.4 states/eV/cell. Its energy above the most stable polymorph in this dataset is 41 meV/atom. The formation energy (no corrections) is 201 meV/atom. The crystal system is monoclinic. The value obtained for the total moment is 0.00 μB per formula unit.

Entry 9:
Entry from Alexandria: a relaxed structure of TlTcTe2 (PBE-GGA).

The space group is R-3m (No. 166, hexagonal axes) and the conventional cell measures 3.5222, 3.5222 and 29.2589 Å, with angles of 90.00, 90.00 and 120.00 degrees. The asymmetric unit holds Tl at (0.0000, 0.0000, 0.0000), Tc at (0.0000, 0.0000, 0.5000) and Te at (0.0000, 0.0000, 0.2287).

The density of states at the Fermi level comes out at 10.4 states/eV/cell. Its energy above the most stable polymorph in this dataset is 2 meV/atom. The formation energy (no corrections) is 24 meV/atom. The crystal system is trigonal. The value obtained for the total moment is 0.22 μB per formula unit.

Entry 10:
Entry from Alexandria: a relaxed structure of TlTcTe2 (PBE-GGA).

The space group is R-3m (No. 166, hexagonal axes) and the conventional cell measures 3.4612, 3.4612 and 31.7653 Å, with angles of 90.00, 90.00 and 120.00 degrees. The asymmetric unit holds Tl at (0.0000, 0.0000, 0.0000), Tc at (0.0000, 0.0000, 0.5000) and Te at (0.0000, 0.0000, 0.1083).

The density of states at the Fermi level comes out at 10.6 states/eV/cell. Its energy above the most stable polymorph in this dataset is 17 meV/atom. The formation energy (no corrections) is 38 meV/atom. The crystal system is trigonal. The value obtained for the total moment is 0.00 μB per formula unit.

Entry 11:
Entry from Alexandria: a relaxed structure of TlTcTe (PBE-GGA).

The space group is P-6m2 (No. 187) and the conventional cell measures 4.6354, 4.6354 and 3.7013 Å, with angles of 90.00, 90.00 and 120.00 degrees. The asymmetric unit holds Tl at (0.0000, 0.0000, 0.0000), Tc at (0.6667, 0.3333, 0.5000) and Te at (0.3333, 0.6667, 0.5000).

The density of states at the Fermi level comes out at 4.2 states/eV/cell. Its energy above the most stable polymorph in this dataset is 405 meV/atom. The formation energy (no corrections) is 619 meV/atom. The crystal system is hexagonal. The value obtained for the total moment is 0.00 μB per formula unit.

Entry 12:
Entry from Alexandria: a relaxed structure of TlTcTe2 (PBE-GGA).

The space group is Immm (No. 71) and the conventional cell measures 3.263, 4.924 and 12.837 Å, with angles of 90.00, 90.00 and 90.00 degrees. The asymmetric unit holds Tl at (0.000, 0.000, 0.000), Tc at (0.000, 0.000, 0.500) and Te at (0.000, 0.500, 0.173).

The density of states at the Fermi level comes out at 6.6 states/eV/cell. Its energy above the most stable polymorph in this dataset is 185 meV/atom. The formation energy (no corrections) is 207 meV/atom. The crystal system is orthorhombic. The value obtained for the total moment is 0.00 μB per formula unit.

Entry 13:
Entry from Alexandria: a relaxed structure of TlTc4Te (PBE-GGA).

The space group is F-43m (No. 216) and the conventional cell measures 7.541, 7.541 and 7.541 Å, with angles of 90.00, 90.00 and 90.00 degrees. The asymmetric unit holds Tl at (0.000, 0.000, 0.000), Tc at (0.124, 0.124, 0.624) and Te at (0.250, 0.250, 0.250).

The density of states at the Fermi level comes out at 25.2 states/eV/cell. The formation energy (no corrections) is 657 meV/atom. The crystal system is cubic. The value obtained for the total moment is 0.00 μB per formula unit.

Entry 14:
Entry from Alexandria: a relaxed structure of TlTcTe3 (PBE-GGA).

The space group is Pm-3m (No. 221) and the conventional cell measures 5.388, 5.388 and 5.388 Å, with angles of 90.00, 90.00 and 90.00 degrees. The asymmetric unit holds Tl at (0.000, 0.000, 0.000), Tc at (0.500, 0.500, 0.500) and Te at (0.000, 0.500, 0.500).

The density of states at the Fermi level comes out at 7.1 states/eV/cell. Its energy above the most stable polymorph in this dataset is 0 meV/atom. The formation energy (no corrections) is 277 meV/atom. The crystal system is cubic. The value obtained for the total moment is 2.73 μB per formula unit.

Entry 15:
Entry from Alexandria: a relaxed structure of Tl2TcTe (PBE-GGA).

The space group is P4/mmm (No. 123) and the conventional cell measures 3.721, 3.721 and 6.749 Å, with angles of 90.00, 90.00 and 90.00 degrees. The asymmetric unit holds Tl at (0.000, 0.000, 0.217), Tc at (0.500, 0.500, 0.000) and Te at (0.500, 0.500, 0.500).

The density of states at the Fermi level comes out at 3.3 states/eV/cell. Its energy above the most stable polymorph in this dataset is 548 meV/atom. The formation energy (no corrections) is 709 meV/atom. The crystal system is tetragonal. The value obtained for the total moment is 0.00 μB per formula unit.

Entry 16:
Entry from Alexandria: a relaxed structure of TlTcTe (PBE-GGA).

The space group is F-43m (No. 216) and the conventional cell measures 6.603, 6.603 and 6.603 Å, with angles of 90.00, 90.00 and 90.00 degrees. The asymmetric unit holds Tl at (0.000, 0.000, 0.000), Tc at (0.250, 0.250, 0.750) and Te at (0.000, 0.000, 0.500).

The density of states at the Fermi level comes out at 13.9 states/eV/cell. Its energy above the most stable polymorph in this dataset is 323 meV/atom. The formation energy (no corrections) is 538 meV/atom. The crystal system is cubic. The value obtained for the total moment is 1.16 μB per formula unit.

Entry 17:
Entry from Alexandria: a relaxed structure of Tl4TcTe (PBE-GGA).

The space group is F-43m (No. 216) and the conventional cell measures 8.935, 8.935 and 8.935 Å, with angles of 90.00, 90.00 and 90.00 degrees. The asymmetric unit holds Tl at (0.125, 0.125, 0.125), Tc at (0.250, 0.250, 0.750) and Te at (0.000, 0.000, 0.500).

The density of states at the Fermi level comes out at 23.8 states/eV/cell. The formation energy (no corrections) is 768 meV/atom. The crystal system is cubic. The value obtained for the total moment is 3.53 μB per formula unit.

Entry 18:
Entry from Alexandria: a relaxed structure of Tl2TcTe (PBE-GGA).

The space group is Immm (No. 71) and the conventional cell measures 3.231, 4.397 and 15.022 Å, with angles of 90.00, 90.00 and 90.00 degrees. The asymmetric unit holds Tl at (0.000, 0.000, 0.179), Tc at (0.000, 0.500, 0.500) and Te at (0.000, 0.500, 0.000).

The density of states at the Fermi level comes out at 5.3 states/eV/cell. Its energy above the most stable polymorph in this dataset is 195 meV/atom. The formation energy (no corrections) is 356 meV/atom. The crystal system is orthorhombic. The value obtained for the total moment is 0.91 μB per formula unit.

Entry 19:
Entry from Alexandria: a relaxed structure of Tl2TcTe (PBE-GGA).

The space group is P4/mmm (No. 123) and the conventional cell measures 4.266, 4.266 and 5.751 Å, with angles of 90.00, 90.00 and 90.00 degrees. The asymmetric unit holds Tl at (0.000, 0.500, 0.000), Tc at (0.000, 0.000, 0.500) and Te at (0.500, 0.500, 0.500).

The density of states at the Fermi level comes out at 3.4 states/eV/cell. Its energy above the most stable polymorph in this dataset is 511 meV/atom. The formation energy (no corrections) is 671 meV/atom. The crystal system is tetragonal. The value obtained for the total moment is 3.03 μB per formula unit.

Entry 20:
Entry from Alexandria: a relaxed structure of Tl2TcTe (PBE-GGA).

The space group is P2/m (No. 10) and the conventional cell measures 3.455, 5.629 and 5.323 Å, with angles of 90.00, 93.95 and 90.00 degrees. The asymmetric unit holds Tl at (0.216, 0.000, 0.261), Tc at (0.500, 0.500, 0.500) and Te at (0.500, 0.500, 0.000).

The density of states at the Fermi level comes out at 3.6 states/eV/cell. Its energy above the most stable polymorph in this dataset is 495 meV/atom. The formation energy (no corrections) is 655 meV/atom. The crystal system is monoclinic. The value obtained for the total moment is 1.71 μB per formula unit.